Record 1
Here is CaCdSi3 after structural relaxation from the Alexandria database. Energies are from GGA-PBE.

```
CaCdSi3
1.0
5.079 0.000 0.000
0.000 5.079 0.000
0.000 0.000 5.079
Si Ca Cd
3 1 1
Direct
0.500 0.000 0.000
0.000 0.000 0.500
0.000 0.500 0.000
0.500 0.500 0.500
0.000 0.000 0.000
```

energy relative to the lowest polymorph listed for this composition = 0.00 eV/f.u.



Record 2
Here is Sb2TeWI after structural relaxation from the Alexandria database. Energies are from GGA-PBE.

```
Sb2TeWI
1.0
5.749 0.000 0.000
0.000 5.749 0.000
0.000 0.000 5.572
I Te Sb W
1 1 2 1
Direct
0.000 0.000 0.000
0.000 0.000 0.500
0.000 0.500 0.000
0.500 0.000 0.000
0.500 0.500 0.500
```

energy relative to the lowest polymorph listed for this composition = 8.31 eV/f.u.



Record 3
Here is Ho6HgRh3 after structural relaxation from the Alexandria database. Energies are from GGA-PBE.

```
Ho6HgRh3
1.0
4.091 0.000 0.000
0.000 10.956 -3.708
0.000 -0.021 11.659
Ho Rh Hg
12 6 2
Direct
0.750 0.944 0.106
0.750 0.755 0.784
0.250 0.540 0.407
0.250 0.863 0.555
0.250 0.615 0.972
0.250 0.302 0.731
0.750 0.460 0.593
0.750 0.137 0.445
0.750 0.698 0.269
0.250 0.056 0.894
0.250 0.245 0.216
0.750 0.385 0.028
0.250 0.524 0.171
0.750 0.692 0.522
0.250 0.841 0.945
0.750 0.476 0.829
0.750 0.159 0.055
0.250 0.308 0.478
0.750 0.075 0.694
0.250 0.925 0.306
```

ΔH_f (0 K) = -0.63 eV/atom



Record 4
Here is Pu2InAg3 after structural relaxation from the Alexandria database. Energies are from GGA-PBE.

```
Pu2InAg3
1.0
-0.870 1.361 5.600
0.794 -5.559 -1.558
9.103 0.969 1.179
Ag Pu In
6 4 2
Direct
0.342 0.171 0.750
0.171 0.829 0.250
0.829 0.171 0.750
0.171 0.342 0.250
0.829 0.658 0.750
0.658 0.829 0.250
0.333 0.667 0.941
0.667 0.333 0.059
0.333 0.667 0.559
0.667 0.333 0.441
0.000 0.000 0.000
0.000 0.000 0.500
```

ΔH_f (0 K) = -0.07 eV/atom
energy relative to the lowest polymorph listed for this composition = 0.00 eV/f.u.



Record 5
Here is ThMnTcP3 after structural relaxation from the Alexandria database. Energies are from GGA-PBE.

```
ThMnTcP3
1.0
-5.068 -2.992 -2.053
-1.975 -0.526 5.643
-1.823 5.373 -3.329
P Tc Th Mn
6 2 2 2
Direct
0.500 0.204 0.000
0.000 0.796 0.000
0.750 0.727 0.454
0.500 0.796 0.000
0.000 0.204 0.000
0.250 0.273 0.546
0.250 0.464 0.928
0.750 0.536 0.072
0.750 0.189 0.378
0.250 0.811 0.622
0.750 0.907 0.814
0.250 0.093 0.186
```

ΔH_f (0 K) = -0.57 eV/atom



Record 6
Here is KPb after structural relaxation from the Alexandria database. Energies are from GGA-PBE.

```
KPb
1.0
6.613 0.000 0.000
0.000 18.083 0.000
0.000 0.000 10.763
Pb K
16 16
Direct
0.500 0.083 0.500
0.250 0.667 0.250
0.500 0.417 0.000
0.750 0.167 0.250
0.000 0.083 0.000
0.000 0.917 0.000
0.500 0.583 0.000
0.750 0.667 0.750
0.250 0.333 0.750
0.250 0.833 0.250
0.750 0.833 0.750
0.000 0.417 0.500
0.250 0.167 0.750
0.750 0.333 0.250
0.000 0.583 0.500
0.500 0.917 0.500
0.000 0.000 0.664
0.000 0.500 0.836
0.750 0.750 0.086
0.750 0.750 0.414
0.500 0.500 0.336
0.000 0.500 0.164
0.250 0.250 0.086
0.250 0.250 0.414
0.250 0.750 0.586
0.500 0.000 0.836
0.500 0.000 0.164
0.250 0.750 0.914
0.750 0.250 0.586
0.000 0.000 0.336
0.500 0.500 0.664
0.750 0.250 0.914
```

ΔH_f (0 K) = -0.11 eV/atom
energy relative to the lowest polymorph listed for this composition = 0.26 eV/f.u.



Record 7
Here is Li5TaN3 after structural relaxation from the Alexandria database. Energies are from GGA-PBE.

```
Li5TaN3
1.0
5.039 0.000 0.000
-2.520 5.315 -1.733
0.000 -0.013 6.965
Li N Ta
10 6 2
Direct
0.284 0.000 0.750
0.077 0.673 0.448
0.541 0.630 0.385
0.089 0.630 0.885
0.911 0.370 0.115
0.923 0.327 0.552
0.404 0.327 0.052
0.459 0.370 0.615
0.716 0.000 0.250
0.596 0.673 0.948
0.697 0.299 0.819
0.000 0.000 0.500
0.602 0.299 0.319
0.000 0.000 0.000
0.398 0.701 0.681
0.303 0.701 0.181
0.222 0.000 0.250
0.778 0.000 0.750
```



Record 8
Here is Ac2MgAu5 after structural relaxation from the Alexandria database. Energies are from GGA-PBE.

```
Ac2MgAu5
1.0
6.647 0.039 0.055
-3.238 5.804 -0.055
-3.238 -2.027 5.439
Au Ac Mg
5 2 1
Direct
0.432 0.712 0.712
0.568 0.280 0.280
0.000 0.274 0.274
0.000 0.712 0.280
0.000 0.280 0.712
0.500 0.239 0.739
0.500 0.739 0.239
0.000 0.987 0.987
```

ΔH_f (0 K) = -0.65 eV/atom



The calculation returns the following VASP energy values, one per record and in order: -3.068 -3.095 -5.611 -6.727 -7.772 -2.512 -5.805 -3.926 eV per atom.
The calculation returns the following total moment values, one per record and in order: 0.000 0.659 0.000 1.959 0.184 0.000 0.000 0.000 μB per atom.